Version i
The following is a PBE calculation of a relaxed structure of HoTmGa, from the Alexandria database.

Results
Volume   25.39 A^3/atom

a b c (Å): 3.431 3.431 12.938
angles (deg): 90.00 90.00 90.00
Space group I4mm (No. 107)
Unique sites:
Ho: 0.000 0.000 0.000 [2 per cell]
Tm: 0.000 0.000 0.293 [2 per cell]
Ga: 0.000 0.000 0.648 [2 per cell]

Version ii
The following is a PBE calculation of a relaxed structure of HoTmGa, from the Alexandria database.

Results
Volume   24.72 A^3/atom

a b c (Å): 5.1127 5.1127 6.5512
angles (deg): 90.00 90.00 120.00
Space group P6_3/mmc (No. 194)
Unique sites:
Ho: 0.0000 0.0000 0.0000 [2 per cell]
Tm: 0.3333 0.6667 0.2500 [2 per cell]
Ga: 0.3333 0.6667 0.7500 [2 per cell]

Name the least stable of them. version i.

Version i
The following is a PBE calculation of a relaxed structure of HoTm2Ga6, from the Alexandria database.

Results
Volume   20.05 A^3/atom

a b c (Å): 7.4482 7.4482 3.7556
angles (deg): 90.00 90.00 120.00
Space group P6/mmm (No. 191)
Unique sites:
Ho: 0.0000 0.0000 0.0000 [1 per cell]
Tm: 0.3333 0.6667 0.0000 [2 per cell]
Ga: 0.0000 0.3338 0.5000 [6 per cell]

Version ii
The following is a PBE calculation of a relaxed structure of HoTm2Ga6, from the Alexandria database.

Results
Volume   21.70 A^3/atom

a b c (Å): 4.259 6.905 13.281
angles (deg): 90.00 90.00 90.00
Space group Immm (No. 71)
Unique sites:
Ho: 0.000 0.000 0.000 [2 per cell]
Tm: 0.000 0.500 0.124 [4 per cell]
Ga: 0.000 0.190 0.500 [4 per cell]
Ga: 0.000 0.306 0.314 [8 per cell]

Name the least stable of them. version ii.

Version i
The following is a PBE calculation of a relaxed structure of Ho2TmGa6, from the Alexandria database.

Results
Volume   20.19 A^3/atom

a b c (Å): 7.4533 7.4533 3.7767
angles (deg): 90.00 90.00 120.00
Space group P6/mmm (No. 191)
Unique sites:
Ho: 0.3333 0.6667 0.0000 [2 per cell]
Tm: 0.0000 0.0000 0.0000 [1 per cell]
Ga: 0.0000 0.3329 0.5000 [6 per cell]

Version ii
The following is a PBE calculation of a relaxed structure of Ho2TmGa6, from the Alexandria database.

Results
Volume   21.92 A^3/atom

a b c (Å): 4.273 6.903 13.375
angles (deg): 90.00 90.00 90.00
Space group Immm (No. 71)
Unique sites:
Ho: 0.000 0.000 0.125 [4 per cell]
Tm: 0.000 0.500 0.000 [2 per cell]
Ga: 0.000 0.192 0.315 [8 per cell]
Ga: 0.000 0.307 0.500 [4 per cell]

Name the least stable of them. version ii.

Version i
The following is a PBE calculation of a relaxed structure of Ho2TmGa3, from the Alexandria database.

Results
Volume   22.27 A^3/atom

a b c (Å): 5.0093 5.0093 12.2957
angles (deg): 90.00 90.00 120.00
Space group P-3m1 (No. 164)
Unique sites:
Ho: 0.0000 0.0000 0.0000 [1 per cell]
Ho: 0.0000 0.0000 0.5000 [1 per cell]
Ho: 0.3333 0.6667 0.1678 [2 per cell]
Tm: 0.3333 0.6667 0.6667 [2 per cell]
Ga: 0.0000 0.0000 0.2509 [2 per cell]
Ga: 0.3333 0.6667 0.4173 [2 per cell]
Ga: 0.3333 0.6667 0.9162 [2 per cell]

Version ii
The following is a PBE calculation of a relaxed structure of Ho2TmGa3, from the Alexandria database.

Results
Volume   23.98 A^3/atom

a b c (Å): 4.514 20.707 6.158
angles (deg): 90.00 90.00 90.00
Space group Cmcm (No. 63)
Unique sites:
Ho: 0.000 0.034 0.250 [4 per cell]
Ho: 0.000 0.143 0.750 [4 per cell]
Tm: 0.000 0.324 0.750 [4 per cell]
Ga: 0.000 0.262 0.250 [4 per cell]
Ga: 0.000 0.437 0.044 [8 per cell]

Name the least stable of them. version ii.

Version i
The following is a PBE calculation of a relaxed structure of Ho3TmGa4, from the Alexandria database.

Results
Volume   24.54 A^3/atom

a b c (Å): 3.566 6.683 16.477
angles (deg): 90.00 90.00 90.00
Space group Immm (No. 71)
Unique sites:
Ho: 0.000 0.000 0.000 [2 per cell]
Ho: 0.000 0.500 0.203 [4 per cell]
Tm: 0.000 0.000 0.500 [2 per cell]
Ga: 0.000 0.306 0.371 [8 per cell]

Version ii
The following is a PBE calculation of a relaxed structure of Ho3TmGa4, from the Alexandria database.

Results
Volume   22.32 A^3/atom

a b c (Å): 5.0115 5.0115 24.6262
angles (deg): 90.00 90.00 120.00
Space group R-3m (No. 166, hexagonal axes)
Unique sites:
Ho: 0.0000 0.0000 0.0000 [3 per cell]
Ho: 0.0000 0.0000 0.2496 [6 per cell]
Tm: 0.0000 0.0000 0.5000 [3 per cell]
Ga: 0.0000 0.0000 0.1254 [6 per cell]
Ga: 0.0000 0.0000 0.3753 [6 per cell]

Name the least stable of them. version i.

Version i
The following is a PBE calculation of a relaxed structure of YHoGa, from the Alexandria database.

Results
Volume   26.15 A^3/atom

a b c (Å): 3.463 3.463 13.087
angles (deg): 90.00 90.00 90.00
Space group I4mm (No. 107)
Unique sites:
Y: 0.000 0.000 0.000 [2 per cell]
Ho: 0.000 0.000 0.291 [2 per cell]
Ga: 0.000 0.000 0.647 [2 per cell]

Version ii
The following is a PBE calculation of a relaxed structure of YHoGa, from the Alexandria database.

Results
Volume   28.73 A^3/atom

a b c (Å): 7.012 7.012 7.012
angles (deg): 90.00 90.00 90.00
Space group F-43m (No. 216)
Unique sites:
Y: 0.000 0.000 0.000 [4 per cell]
Ho: 0.000 0.000 0.500 [4 per cell]
Ga: 0.250 0.250 0.250 [4 per cell]

Version iii
The following is a PBE calculation of a relaxed structure of YHoGa, from the Alexandria database.

Results
Volume   26.35 A^3/atom

a b c (Å): 7.9454 7.9454 4.3380
angles (deg): 90.00 90.00 120.00
Space group P-62m (No. 189)
Unique sites:
Y: 0.0000 0.4062 0.0000 [3 per cell]
Ho: 0.0000 0.7397 0.5000 [3 per cell]
Ga: 0.0000 0.0000 0.0000 [1 per cell]
Ga: 0.3333 0.6667 0.5000 [2 per cell]

Version iv
The following is a PBE calculation of a relaxed structure of YHoGa, from the Alexandria database.

Results
Volume   26.02 A^3/atom

a b c (Å): 4.9606 4.9606 3.6634
angles (deg): 90.00 90.00 120.00
Space group P3m1 (No. 156)
Unique sites:
Y: 0.0000 0.0000 0.0000 [1 per cell]
Ho: 0.3333 0.6667 0.4650 [1 per cell]
Ga: 0.6667 0.3333 0.7109 [1 per cell]

Name the least stable of them. version ii.

Version i
The following is a PBE calculation of a relaxed structure of YHoGa, from the Alexandria database.

Results
Volume   25.74 A^3/atom

a b c (Å): 16.325 3.687 5.132
angles (deg): 90.00 90.09 90.00
Space group C2/m (No. 12)
Unique sites:
Y: 0.222 0.000 0.250 [4 per cell]
Ho: 0.076 0.000 0.748 [4 per cell]
Ga: 0.076 0.500 0.247 [4 per cell]

Version ii
The following is a PBE calculation of a relaxed structure of YHoGa, from the Alexandria database.

Results
Volume   27.55 A^3/atom

a b c (Å): 3.5703 3.5703 22.4636
angles (deg): 90.00 90.00 120.00
Space group R3m (No. 160, hexagonal axes)
Unique sites:
Y: 0.0000 0.0000 0.0000 [3 per cell]
Ho: 0.0000 0.0000 0.7969 [3 per cell]
Ga: 0.0000 0.0000 0.2311 [3 per cell]

Name the least stable of them. version ii.

Version i
The following is a PBE calculation of a relaxed structure of YHoGa4, from the Alexandria database.

Results
Volume   20.97 A^3/atom

a b c (Å): 4.2117 4.2117 8.1912
angles (deg): 90.00 90.00 120.00
Space group P6/mmm (No. 191)
Unique sites:
Y: 0.0000 0.0000 0.0000 [1 per cell]
Ho: 0.0000 0.0000 0.5000 [1 per cell]
Ga: 0.3333 0.6667 0.2523 [4 per cell]

Version ii
The following is a PBE calculation of a relaxed structure of YHoGa4, from the Alexandria database.

Results
Volume   20.33 A^3/atom

a b c (Å): 4.250 6.980 8.225
angles (deg): 90.00 90.00 90.00
Space group Imm2 (No. 44)
Unique sites:
Y: 0.000 0.000 0.000 [2 per cell]
Ho: 0.000 0.500 0.879 [2 per cell]
Ga: 0.000 0.197 0.601 [4 per cell]
Ga: 0.000 0.301 0.278 [4 per cell]

Version iii
The following is a PBE calculation of a relaxed structure of YHoGa4, from the Alexandria database.

Results
Volume   19.65 A^3/atom

a b c (Å): 7.783 7.783 7.783
angles (deg): 90.00 90.00 90.00
Space group F-43m (No. 216)
Unique sites:
Y: 0.000 0.000 0.000 [4 per cell]
Ho: 0.250 0.250 0.250 [4 per cell]
Ga: 0.125 0.125 0.625 [16 per cell]

Name the least stable of them. version iii.

Version i
The following is a PBE calculation of a relaxed structure of Y3HoGa2, from the Alexandria database.

Results
Volume   25.80 A^3/atom

a b c (Å): 4.952 9.485 6.592
angles (deg): 90.00 90.00 90.00
Space group Pmc2_1 (No. 26)
Unique sites:
Y: 0.000 0.050 0.000 [2 per cell]
Y: 0.000 0.322 0.360 [2 per cell]
Y: 0.500 0.181 0.707 [2 per cell]
Ho: 0.500 0.450 0.068 [2 per cell]
Ga: 0.000 0.360 0.826 [2 per cell]
Ga: 0.500 0.140 0.243 [2 per cell]

Version ii
The following is a PBE calculation of a relaxed structure of Y3HoGa2, from the Alexandria database.

Results
Volume   29.71 A^3/atom

a b c (Å): 6.911 14.294 7.218
angles (deg): 90.00 90.00 90.00
Space group Ibam (No. 72)
Unique sites:
Y: 0.000 0.000 0.250 [4 per cell]
Y: 0.000 0.276 0.250 [8 per cell]
Ho: 0.000 0.500 0.000 [4 per cell]
Ga: 0.202 0.136 0.000 [8 per cell]

Name the least stable of them. version ii.

Version i
The following is a PBE calculation of a relaxed structure of YHo2Ga2, from the Alexandria database.

Results
Volume   26.06 A^3/atom

a b c (Å): 12.381 3.683 5.855
angles (deg): 90.00 102.56 90.00
Space group C2/m (No. 12)
Unique sites:
Y: 0.000 0.000 0.000 [2 per cell]
Ho: 0.138 0.500 0.571 [4 per cell]
Ga: 0.203 0.500 0.114 [4 per cell]

Version ii
The following is a PBE calculation of a relaxed structure of YHo2Ga2, from the Alexandria database.

Results
Volume   25.16 A^3/atom

a b c (Å): 7.671 7.671 4.275
angles (deg): 90.00 90.00 90.00
Space group P4/mbm (No. 127)
Unique sites:
Y: 0.000 0.000 0.000 [2 per cell]
Ho: 0.174 0.326 0.500 [4 per cell]
Ga: 0.120 0.620 0.000 [4 per cell]

Name the least stable of them. version i.

Version i
The following is a PBE calculation of a relaxed structure of YHo3Ga2, from the Alexandria database.

Results
Volume   26.17 A^3/atom

a b c (Å): 15.984 5.031 8.861
angles (deg): 90.00 118.16 90.00
Space group C2/m (No. 12)
Unique sites:
Y: 0.129 0.000 0.189 [4 per cell]
Ho: 0.062 0.000 0.717 [4 per cell]
Ho: 0.121 0.500 0.512 [4 per cell]
Ho: 0.187 0.500 0.993 [4 per cell]
Ga: 0.015 0.500 0.151 [4 per cell]
Ga: 0.228 0.000 0.614 [4 per cell]

Version ii
The following is a PBE calculation of a relaxed structure of YHo3Ga2, from the Alexandria database.

Results
Volume   25.52 A^3/atom

a b c (Å): 4.911 9.424 6.616
angles (deg): 90.00 90.00 90.00
Space group Pmc2_1 (No. 26)
Unique sites:
Y: 0.000 0.051 0.000 [2 per cell]
Ho: 0.000 0.320 0.635 [2 per cell]
Ho: 0.500 0.182 0.294 [2 per cell]
Ho: 0.500 0.449 0.928 [2 per cell]
Ga: 0.000 0.361 0.175 [2 per cell]
Ga: 0.500 0.139 0.751 [2 per cell]

Name the least stable of them. version i.